Entry 1:
This record from the Alexandria database describes a relaxed Sr4PI4 crystal. The functional is PBE.

Values from the calculation:
The uncorrected formation energy is -1467 meV per atom. For the density, the calculation gives 4.2 g/cm3.

Structure (CIF):
```
data_Sr4PI4
_chemical_formula_sum 'Sr8 P2 I8'
_symmetry_space_group_name_H-M 'C 1 2/m 1'
_symmetry_Int_Tables_number 12
_cell_length_a 15.6053
_cell_length_b 4.6049
_cell_length_c 11.4608
_cell_angle_alpha 90.00
_cell_angle_beta 120.44
_cell_angle_gamma 90.00
loop_
_symmetry_equiv_pos_as_xyz
'x,y,z'
'-x,-y,-z'
'-x,y,-z'
'x,-y,z'
'x+1/2,y+1/2,z'
'-x+1/2,-y+1/2,-z'
'-x+1/2,y+1/2,-z'
'x+1/2,-y+1/2,z'
loop_
_atom_site_label
_atom_site_fract_x
_atom_site_fract_y
_atom_site_fract_z
Sr1 0.0815 0.0000 0.4139
Sr2 0.1825 0.5000 0.7731
P1 0.0000 0.5000 0.5000
I1 0.1060 0.0000 0.9107
I2 0.1920 0.5000 0.2990
```

---

Entry 2:
This record from the Alexandria database describes a relaxed SrP3I crystal. The functional is PBE.

Values from the calculation:
The uncorrected formation energy is 1336 meV per atom. For the density, the calculation gives 2.7 g/cm3. For the relative energy among the computed polymorphs, the calculation gives 707 meV per atom.

Structure (CIF):
```
data_SrP3I
_chemical_formula_sum 'Sr1 P3 I1'
_symmetry_space_group_name_H-M 'P m -3 m'
_symmetry_Int_Tables_number 221
_symmetry_space_group_name_Hall '-P 4 2 3'
_cell_length_a 5.7066
_cell_length_b 5.7066
_cell_length_c 5.7066
_cell_angle_alpha 90.00
_cell_angle_beta 90.00
_cell_angle_gamma 90.00
loop_
_atom_site_label
_atom_site_fract_x
_atom_site_fract_y
_atom_site_fract_z
Sr1 0.0000 0.0000 0.0000
P1 0.0000 0.0000 0.5000
I1 0.5000 0.5000 0.5000
```

---

Entry 3:
This record from the Alexandria database describes a relaxed SrP3I crystal. The functional is PBE.

Values from the calculation:
The uncorrected formation energy is 629 meV per atom. For the density, the calculation gives 3.7 g/cm3. For the relative energy among the computed polymorphs, the calculation gives 0 meV per atom.

Structure (CIF):
```
data_SrP3I
_chemical_formula_sum 'Sr1 P3 I1'
_symmetry_space_group_name_H-M 'P m -3 m'
_symmetry_Int_Tables_number 221
_symmetry_space_group_name_Hall '-P 4 2 3'
_cell_length_a 5.1868
_cell_length_b 5.1868
_cell_length_c 5.1868
_cell_angle_alpha 90.00
_cell_angle_beta 90.00
_cell_angle_gamma 90.00
loop_
_atom_site_label
_atom_site_fract_x
_atom_site_fract_y
_atom_site_fract_z
Sr1 0.0000 0.0000 0.0000
P1 0.0000 0.5000 0.5000
I1 0.5000 0.5000 0.5000
```

---

Entry 4:
This record from the Alexandria database describes a relaxed SrPI2 crystal. The functional is PBE.

Values from the calculation:
The uncorrected formation energy is -366 meV per atom. For the density, the calculation gives 4.4 g/cm3. For the relative energy among the computed polymorphs, the calculation gives 0 meV per atom.

Structure (CIF):
```
data_SrPI2
_chemical_formula_sum 'Sr4 P4 I8'
_symmetry_space_group_name_H-M 'F m -3 m'
_symmetry_Int_Tables_number 225
_symmetry_space_group_name_Hall '-F 4 2 3'
_cell_length_a 8.2232
_cell_length_b 8.2232
_cell_length_c 8.2232
_cell_angle_alpha 90.00
_cell_angle_beta 90.00
_cell_angle_gamma 90.00
loop_
_atom_site_label
_atom_site_fract_x
_atom_site_fract_y
_atom_site_fract_z
Sr1 0.0000 0.0000 0.0000
P1 0.0000 0.0000 0.5000
I1 0.2500 0.2500 0.2500
```

---

Entry 5:
This record from the Alexandria database describes a relaxed Sr2PI crystal. The functional is PBE.

Values from the calculation:
The uncorrected formation energy is -1081 meV per atom. For the density, the calculation gives 4.5 g/cm3.

Structure (CIF):
```
data_Sr2PI
_chemical_formula_sum 'Sr8 P4 I4'
_symmetry_space_group_name_H-M 'F m -3 m'
_symmetry_Int_Tables_number 225
_symmetry_space_group_name_Hall '-F 4 2 3'
_cell_length_a 7.8720
_cell_length_b 7.8720
_cell_length_c 7.8720
_cell_angle_alpha 90.00
_cell_angle_beta 90.00
_cell_angle_gamma 90.00
loop_
_atom_site_label
_atom_site_fract_x
_atom_site_fract_y
_atom_site_fract_z
Sr1 0.2500 0.2500 0.2500
P1 0.0000 0.0000 0.0000
I1 0.0000 0.0000 0.5000
```

---

Entry 6:
This record from the Alexandria database describes a relaxed SrTePI2 crystal. The functional is PBE.

Values from the calculation:
The uncorrected formation energy is -503 meV per atom. For the density, the calculation gives 4.9 g/cm3. For the relative energy among the computed polymorphs, the calculation gives 0 meV per atom.

Structure (CIF):
```
data_SrTePI2
_chemical_formula_sum 'Sr1 Te1 P1 I2'
_symmetry_space_group_name_H-M 'P 4/m m m'
_symmetry_Int_Tables_number 123
_symmetry_space_group_name_Hall '-P 4 2'
_cell_length_a 5.4412
_cell_length_b 5.4412
_cell_length_c 5.7076
_cell_angle_alpha 90.00
_cell_angle_beta 90.00
_cell_angle_gamma 90.00
loop_
_atom_site_label
_atom_site_fract_x
_atom_site_fract_y
_atom_site_fract_z
Sr1 0.0000 0.0000 0.0000
Te1 0.5000 0.5000 0.0000
P1 0.5000 0.5000 0.5000
I1 0.0000 0.5000 0.5000
```

---

Entry 7:
This record from the Alexandria database describes a relaxed SrTe2PI crystal. The functional is PBE.

Values from the calculation:
The uncorrected formation energy is -431 meV per atom. For the density, the calculation gives 5.1 g/cm3. For the relative energy among the computed polymorphs, the calculation gives 0 meV per atom.

Structure (CIF):
```
data_SrTe2PI
_chemical_formula_sum 'Sr1 Te2 P1 I1'
_symmetry_space_group_name_H-M 'P 4/m m m'
_symmetry_Int_Tables_number 123
_symmetry_space_group_name_Hall '-P 4 2'
_cell_length_a 5.4351
_cell_length_b 5.4351
_cell_length_c 5.4799
_cell_angle_alpha 90.00
_cell_angle_beta 90.00
_cell_angle_gamma 90.00
loop_
_atom_site_label
_atom_site_fract_x
_atom_site_fract_y
_atom_site_fract_z
Sr1 0.0000 0.0000 0.0000
Te1 0.0000 0.5000 0.5000
P1 0.5000 0.5000 0.5000
I1 0.5000 0.5000 0.0000
```

---

Entry 8:
This record from the Alexandria database describes a relaxed Sr2TePI crystal. The functional is PBE.

Values from the calculation:
The uncorrected formation energy is -840 meV per atom. For the density, the calculation gives 4.1 g/cm3. For the relative energy among the computed polymorphs, the calculation gives 0 meV per atom.

Structure (CIF):
```
data_Sr2TePI
_chemical_formula_sum 'Sr2 Te1 P1 I1'
_symmetry_space_group_name_H-M 'P 4/m m m'
_symmetry_Int_Tables_number 123
_symmetry_space_group_name_Hall '-P 4 2'
_cell_length_a 5.9552
_cell_length_b 5.9552
_cell_length_c 5.2291
_cell_angle_alpha 90.00
_cell_angle_beta 90.00
_cell_angle_gamma 90.00
loop_
_atom_site_label
_atom_site_fract_x
_atom_site_fract_y
_atom_site_fract_z
Sr1 0.0000 0.5000 0.0000
Te1 0.0000 0.0000 0.5000
P1 0.5000 0.5000 0.0000
I1 0.5000 0.5000 0.5000
```